1.
Hf2MnIrOs after structural relaxation. Source: Alexandria, functional GGA-PBE.

Cell: 4.953 4.953 4.421 Å, 90.00 90.00 90.00°
Space group P4/mmm (No. 123)
Unique sites:
Hf (0.000, 0.500, 0.000) (multiplicity 2)
Mn (0.000, 0.000, 0.500) (multiplicity 1)
Ir (0.500, 0.500, 0.500) (multiplicity 1)
Os (0.000, 0.000, 0.000) (multiplicity 1)

Summary:
Magnetization ... 3.05 μB per formula unit
DOS(E_F) ... 6.1 states/eV per cell
Energy relative to the elements ... 0.817 eV per atom



2.
HfMnIrPd2 after structural relaxation. Source: Alexandria, functional GGA-PBE.

Cell: 4.551 4.551 4.542 Å, 90.00 90.00 90.00°
Space group P4/mmm (No. 123)
Unique sites:
Hf (0.000, 0.000, 0.000) (multiplicity 1)
Mn (0.500, 0.500, 0.500) (multiplicity 1)
Ir (0.500, 0.500, 0.000) (multiplicity 1)
Pd (0.000, 0.500, 0.500) (multiplicity 2)

Summary:
Magnetization ... 3.59 μB per formula unit
DOS(E_F) ... 5.0 states/eV per cell
Energy relative to the elements ... 0.556 eV per atom



3.
Hf2MnIrPt after structural relaxation. Source: Alexandria, functional GGA-PBE.

Cell: 4.925 4.925 4.710 Å, 90.00 90.00 90.00°
Space group P4/mmm (No. 123)
Unique sites:
Hf (0.000, 0.500, 0.000) (multiplicity 2)
Mn (0.000, 0.000, 0.500) (multiplicity 1)
Ir (0.000, 0.000, 0.000) (multiplicity 1)
Pt (0.500, 0.500, 0.500) (multiplicity 1)

Summary:
Magnetization ... 4.02 μB per formula unit
DOS(E_F) ... 4.7 states/eV per cell
Energy relative to the elements ... 0.348 eV per atom



Question: The lowest energy relative to the elements belongs to which entry?
Answer: Hf2MnIrPt



Question: Which value of DOS(E_F) does entry 2 give?
Answer: 5.0 states/eV per cell



Question: What is the formula in the third record?
Answer: Hf2MnIrPt